The following is a DFT calculation (PBE) of a geometry-optimized InGa2Pb2 structure.

* uncorrected energy: -3.1475 eV per atom
* excess energy over the best structure of this formula in the dataset: 31 meV per atom
* calculated formation energy: 45.5 kJ/mol of formula units

Geometry as POSCAR:
```
InGa2Pb2
1.0
8.395 0.000 0.000
0.000 8.395 0.000
0.000 0.000 3.764
Pb Ga In
4 4 2
Cartesian
1.535 5.733 1.882
2.663 1.535 1.882
5.733 6.860 1.882
6.860 2.663 1.882
7.419 5.174 0.000
0.976 3.222 0.000
3.222 7.419 0.000
5.174 0.976 0.000
4.198 4.198 0.000
0.000 0.000 0.000
```